1.
Material: LiHfTlCu
Method: DFT, PBE
State: relaxed

## Properties
spin magnetization = 0.00 μB per formula unit
DFT total energy = -4.417 eV per atom

Unit cell a=4.5616 b=4.5616 c=4.5616 alpha=60.00 beta=60.00 gamma=60.00
With the nearest neighbours (Å) after each atom.
Atoms (fractional coordinates):
1 Tl 0.0000 0.0000 0.0000  4 Cu 2.79, 4 Li 2.79
2 Hf 0.5000 0.5000 0.5000  4 Li 2.79, 4 Cu 2.79
3 Li 0.2500 0.2500 0.2500  4 Hf 2.79, 4 Tl 2.79
4 Cu 0.7500 0.7500 0.7500  4 Tl 2.79, 4 Hf 2.79

=====

2.
Material: LiHfTlCu
Method: DFT, PBE
State: relaxed

## Properties
spin magnetization = 0.04 μB per formula unit
DFT total energy = -4.232 eV per atom

Unit cell a=4.6536 b=4.6536 c=4.6536 alpha=60.00 beta=60.00 gamma=60.00
With the nearest neighbours (Å) after each atom.
Atoms (fractional coordinates):
1 Hf 0.2500 0.2500 0.2500  4 Li 2.85, 4 Tl 2.85
2 Li 0.5000 0.5000 0.5000  4 Hf 2.85, 4 Cu 2.85
3 Cu 0.7500 0.7500 0.7500  4 Tl 2.85, 4 Li 2.85
4 Tl 0.0000 0.0000 0.0000  4 Hf 2.85, 4 Cu 2.85

=====

3.
Material: Lu2HfCu
Method: DFT, PBE
State: relaxed

## Properties
spin magnetization = 0.74 μB per formula unit
E_form = 0.28 eV/atom
DFT total energy = -5.397 eV per atom

Unit cell a=4.9884 b=4.9884 c=4.9884 alpha=60.00 beta=60.00 gamma=60.00
With the nearest neighbours (Å) after each atom.
Atoms (fractional coordinates):
1 Cu 0.7500 0.7500 0.7500  4 Hf 3.05, 4 Lu 3.05
2 Lu 0.0000 0.0000 0.0000  4 Lu 3.05, 4 Cu 3.05
3 Lu 0.2500 0.2500 0.2500  4 Hf 3.05, 4 Lu 3.05
4 Hf 0.5000 0.5000 0.5000  4 Lu 3.05, 4 Cu 3.05